[1]
Compound: PmNd6Tl3
Source: Alexandria via LeMat-Bulk
Functional: PBE
Structure: optimized geometry

For the density, the calculation gives 8.4 g/cm3. The value obtained for the total energy is -4.225 eV per atom. The density of states at the Fermi level comes out at 1.143 states/eV/atom. As for the formation energy: -0.1789 eV/atom. The size of the total moment is 0.0 μB per cell.

It has space group P2_1/m (No. 11), with a = 10.083 Å, b = 5.526 Å, c = 12.175 Å, α = 90.00°, β = 109.02° and γ = 90.00°. Symmetry generates all atoms from Pm at (0.094, 0.250, 0.375), Nd at (0.066, 0.750, 0.925), Nd at (0.139, 0.250, 0.743), Nd at (0.192, 0.750, 0.528), Nd at (0.207, 0.750, 0.238), Nd at (0.442, 0.250, 0.363), Nd at (0.465, 0.750, 0.094), Tl at (0.264, 0.250, 0.063), Tl at (0.334, 0.750, 0.810) and Tl at (0.390, 0.250, 0.620).

***

[2]
Compound: Pm12Nd3Tl
Source: Alexandria via LeMat-Bulk
Functional: PBE
Structure: optimized geometry

For the density, the calculation gives 7.3 g/cm3. The value obtained for the total energy is -4.633 eV per atom. The density of states at the Fermi level comes out at 1.420 states/eV/atom. As for the formation energy: -0.0286 eV/atom. The size of the total moment is 0.0 μB per cell.

It has space group P4/mmm (No. 123), with a = 5.093 Å, b = 5.093 Å, c = 20.747 Å, α = 90.00°, β = 90.00° and γ = 90.00°. Symmetry generates all atoms from Pm at (0.000, 0.000, 0.000), Pm at (0.000, 0.000, 0.245), Pm at (0.000, 0.000, 0.500), Pm at (0.000, 0.500, 0.120), Pm at (0.000, 0.500, 0.373), Nd at (0.500, 0.500, 0.247), Nd at (0.500, 0.500, 0.500) and Tl at (0.500, 0.500, 0.000).

***

[3]
Compound: Pm2Nd6Tl3
Source: Alexandria via LeMat-Bulk
Functional: PBE
Structure: optimized geometry

For the density, the calculation gives 7.8 g/cm3. The value obtained for the total energy is -3.907 eV per atom. The density of states at the Fermi level comes out at 0.959 states/eV/atom. As for the formation energy: 0.2031 eV/atom. The size of the total moment is 0.0 μB per cell.

It has space group I4/mmm (No. 139), with a = 5.443 Å, b = 5.443 Å, c = 25.340 Å, α = 90.00°, β = 90.00° and γ = 90.00°. Symmetry generates all atoms from Pm at (0.000, 0.000, 0.057), Nd at (0.000, 0.000, 0.199), Nd at (0.000, 0.500, 0.102), Tl at (0.000, 0.000, 0.324) and Tl at (0.000, 0.000, 0.500).

***

[4]
Compound: Pm3NdTl3
Source: Alexandria via LeMat-Bulk
Functional: PBE
Structure: optimized geometry

For the density, the calculation gives 9.0 g/cm3. The value obtained for the total energy is -4.017 eV per atom. The density of states at the Fermi level comes out at 1.226 states/eV/atom. As for the formation energy: -0.2854 eV/atom. The size of the total moment is 0.0 μB per cell.

It has space group P2_13 (No. 198), with a = 9.581 Å, b = 9.581 Å, c = 9.581 Å, α = 90.00°, β = 90.00° and γ = 90.00°. Symmetry generates all atoms from Pm at (0.074, 0.426, 0.574), Pm at (0.177, 0.177, 0.177), Pm at (0.177, 0.823, 0.323), Nd at (0.074, 0.574, 0.926) and Tl at (0.000, 0.249, 0.877).

***

[5]
Compound: Pm2Nd3Tl4
Source: Alexandria via LeMat-Bulk
Functional: PBE
Structure: optimized geometry

For the density, the calculation gives 8.8 g/cm3. The value obtained for the total energy is -3.920 eV per atom. The density of states at the Fermi level comes out at 0.680 states/eV/atom. As for the formation energy: -0.2230 eV/atom. The size of the total moment is 0.0 μB per cell.

It has space group Cmce (No. 64), with a = 7.438 Å, b = 16.108 Å, c = 9.738 Å, α = 90.00°, β = 90.00° and γ = 90.00°. Symmetry generates all atoms from Pm at (0.000, 0.106, 0.063), Nd at (0.000, 0.000, 0.500), Nd at (0.250, 0.218, 0.750), Tl at (0.000, 0.193, 0.472) and Tl at (0.250, 0.018, 0.750).

***

[6]
Compound: Pm5NdTl2
Source: Alexandria via LeMat-Bulk
Functional: PBE
Structure: optimized geometry

For the density, the calculation gives 8.2 g/cm3. The value obtained for the total energy is -4.283 eV per atom. The density of states at the Fermi level comes out at 1.366 states/eV/atom. As for the formation energy: -0.1266 eV/atom. The size of the total moment is 0.0 μB per cell.

It has space group Immm (No. 71), with a = 3.739 Å, b = 10.883 Å, c = 12.726 Å, α = 90.00°, β = 90.00° and γ = 90.00°. Symmetry generates all atoms from Pm at (0.000, 0.000, 0.000), Pm at (0.000, 0.278, 0.363), Nd at (0.000, 0.500, 0.000) and Tl at (0.000, 0.000, 0.269).

***

[7]
Compound: PmNd6Tl6
Source: Alexandria via LeMat-Bulk
Functional: PBE
Structure: optimized geometry

For the density, the calculation gives 9.1 g/cm3. The value obtained for the total energy is -3.886 eV per atom. The density of states at the Fermi level comes out at 1.187 states/eV/atom. As for the formation energy: -0.2277 eV/atom. The size of the total moment is 2.3 μB per cell.

It has space group P6/mmm (No. 191), with a = 6.5329 Å, b = 6.5329 Å, c = 11.0211 Å, α = 90.00°, β = 90.00° and γ = 120.00°. Symmetry generates all atoms from Pm at (0.0000, 0.0000, 0.0000), Nd at (0.0000, 0.0000, 0.3340), Nd at (0.3333, 0.6667, 0.0000), Nd at (0.3333, 0.6667, 0.5000) and Tl at (0.0000, 0.5000, 0.2462).

***

[8]
Compound: PmNdTl6
Source: Alexandria via LeMat-Bulk
Functional: PBE
Structure: optimized geometry

For the density, the calculation gives 11.2 g/cm3. The value obtained for the total energy is -3.277 eV per atom. The density of states at the Fermi level comes out at 0.410 states/eV/atom. As for the formation energy: -0.3130 eV/atom. The size of the total moment is 0.0 μB per cell.

It has space group P4/mmm (No. 123), with a = 4.826 Å, b = 4.826 Å, c = 9.657 Å, α = 90.00°, β = 90.00° and γ = 90.00°. Symmetry generates all atoms from Pm at (0.000, 0.000, 0.000), Nd at (0.000, 0.000, 0.500), Tl at (0.000, 0.500, 0.249), Tl at (0.500, 0.500, 0.000) and Tl at (0.500, 0.500, 0.500).